Below is a relaxed ErLuTh2 crystal, with properties calculated at the GGA-PBE level.

Output
Energy of formation   37 meV/atom
Magnetization   0.003 μB per formula unit
Calculated volume   124.9 Å³/cell
Crystal system   tetragonal
Symmetry   No. 123
Distance to the lowest polymorph of the same formula   5 meV per atom
N(E_F)   1.31 states/eV/atom

```
ErLuTh2
1.0
3.544 0.000 0.000
0.000 3.544 0.000
0.000 0.000 9.941
Lu Th Er
1 2 1
Direct
0.500 0.500 0.000 Lu
0.000 0.000 0.752 Th
0.000 0.000 0.248 Th
0.500 0.500 0.500 Er
```

***

Below is a relaxed CuSNCl2 crystal, with properties calculated at the GGA-PBE level.

Output
Magnetization   0.000 μB per formula unit
Calculated volume   79.4 Å³/cell
Crystal system   tetragonal
Symmetry   No. 123
Distance to the lowest polymorph of the same formula   0 meV per atom
Uncorrected formation energy   1169 meV per atom
N(E_F)   0.75 states/eV/atom

```
CuSNCl2
1.0
-0.932 -1.937 -3.752
0.419 -3.866 1.892
-4.129 0.043 1.003
S N Cu Cl
1 1 1 2
Direct
0.000 0.000 0.500 S
0.000 0.000 0.000 N
0.500 0.500 0.500 Cu
0.000 0.500 0.000 Cl
0.500 0.000 0.000 Cl
```

***

Below is a relaxed Ac2CoGe3 crystal, with properties calculated at the GGA-PBE level.

Output
Energy of formation   -633 meV/atom
Magnetization   0.000 μB per formula unit
Calculated volume   291.4 Å³/cell
Crystal system   orthorhombic
Symmetry   No. 69
Distance to the lowest polymorph of the same formula   0 meV per atom
N(E_F)   0.77 states/eV/atom

```
Ac2CoGe3
1.0
5.918 0.884 -1.875
-1.091 5.883 -1.875
-0.640 -0.898 8.642
Ac Co Ge
4 2 6
Direct
0.250 0.750 0.500 Ac
0.750 0.750 0.000 Ac
0.750 0.250 0.500 Ac
0.250 0.250 0.000 Ac
0.334 0.334 0.668 Co
0.666 0.666 0.332 Co
0.650 0.175 0.825 Ge
0.825 0.350 0.175 Ge
0.350 0.825 0.175 Ge
0.175 0.650 0.825 Ge
0.825 0.825 0.650 Ge
0.175 0.175 0.350 Ge
```

***

Below is a relaxed LaBIrPd2 crystal, with properties calculated at the GGA-PBE level.

Output
Energy of formation   -601 meV/atom
Magnetization   0.000 μB per formula unit
Calculated volume   83.6 Å³/cell
Crystal system   tetragonal
Symmetry   No. 123
N(E_F)   0.39 states/eV/atom

```
LaBIrPd2
1.0
4.434 0.000 0.000
0.000 4.434 0.000
0.000 0.000 4.254
B Ir Pd La
1 1 2 1
Direct
0.000 0.000 0.000 B
0.000 0.000 0.500 Ir
0.000 0.500 0.000 Pd
0.500 0.000 0.000 Pd
0.500 0.500 0.500 La
```